Model A:
## DyYMgAu (PBE-GGA)

Data for DyYMgAu after structural relaxation.

```
DyYMgAu
1.0
0.000 3.676 3.676
3.676 0.000 3.676
3.676 3.676 0.000
Dy Y Mg Au
1 1 1 1
Direct
0.000 0.000 0.000
0.500 0.500 0.500
0.750 0.750 0.750
0.250 0.250 0.250
```

The density of states at the Fermi level comes out at 0.886 states/eV/atom.

Model B:
## DyYMgAu (PBE-GGA)

Data for DyYMgAu after structural relaxation.

```
DyYMgAu
1.0
3.705 0.000 0.000
0.000 3.705 0.000
0.000 0.000 7.289
Dy Y Mg Au
1 1 1 1
Direct
0.000 0.000 0.000
0.000 0.000 0.529
0.500 0.500 0.264
0.500 0.500 0.770
```

The density of states at the Fermi level comes out at 0.859 states/eV/atom.

Name the most stable of them. model B.

Model A:
## NdDy2Au (PBE-GGA)

Data for NdDy2Au after structural relaxation.

```
NdDy2Au
1.0
1.891 1.092 9.856
-1.891 1.092 9.856
0.000 -2.184 9.856
Nd Dy Au
1 2 1
Direct
0.000 0.000 0.000
0.566 0.566 0.566
0.765 0.765 0.765
0.165 0.165 0.165
```

The density of states at the Fermi level comes out at 1.249 states/eV/atom.

Model B:
## NdDy2Au (PBE-GGA)

Data for NdDy2Au after structural relaxation.

```
NdDy2Au
1.0
1.865 1.077 10.041
-1.865 1.077 10.041
0.000 -2.154 10.041
Nd Dy Au
1 2 1
Direct
0.000 0.000 0.000
0.235 0.235 0.235
0.765 0.765 0.765
0.500 0.500 0.500
```

The density of states at the Fermi level comes out at 1.381 states/eV/atom.

Name the most stable of them. model A.

Model A:
## Nd2DyAu (PBE-GGA)

Data for Nd2DyAu after structural relaxation.

```
Nd2DyAu
1.0
1.887 1.089 10.152
-1.887 1.089 10.152
0.000 -2.179 10.152
Nd Dy Au
2 1 1
Direct
0.000 0.000 0.000
0.189 0.189 0.189
0.427 0.427 0.427
0.595 0.595 0.595
```

The density of states at the Fermi level comes out at 1.313 states/eV/atom.

Model B:
## Nd2DyAu (PBE-GGA)

Data for Nd2DyAu after structural relaxation.

```
Nd2DyAu
1.0
1.867 1.078 10.280
-1.867 1.078 10.280
0.000 -2.156 10.280
Nd Dy Au
2 1 1
Direct
0.239 0.239 0.239
0.761 0.761 0.761
0.000 0.000 0.000
0.500 0.500 0.500
```

The density of states at the Fermi level comes out at 0.878 states/eV/atom.

Model C:
## Nd2DyAu (PBE-GGA)

Data for Nd2DyAu after structural relaxation.

```
Nd2DyAu
1.0
3.737 0.000 0.000
0.000 3.737 0.000
0.000 0.000 8.534
Nd Dy Au
2 1 1
Direct
0.000 0.000 0.212
0.000 0.000 0.788
0.500 0.500 0.500
0.500 0.500 0.000
```

The density of states at the Fermi level comes out at 1.520 states/eV/atom.

Model D:
## Nd2DyAu (PBE-GGA)

Data for Nd2DyAu after structural relaxation.

```
Nd2DyAu
1.0
7.139 0.000 0.000
0.000 10.127 0.000
0.000 0.000 6.757
Nd Dy Au
8 4 4
Direct
0.197 0.055 0.185
0.197 0.445 0.185
0.303 0.555 0.685
0.303 0.945 0.685
0.697 0.055 0.315
0.697 0.445 0.315
0.803 0.555 0.815
0.803 0.945 0.815
0.019 0.250 0.629
0.481 0.750 0.129
0.519 0.250 0.871
0.981 0.750 0.371
0.098 0.750 0.957
0.402 0.250 0.457
0.598 0.750 0.543
0.902 0.250 0.043
```

The density of states at the Fermi level comes out at 0.933 states/eV/atom.

Name the most stable of them. model D.

Model A:
## NdDyAu4 (PBE-GGA)

Data for NdDyAu4 after structural relaxation.

```
NdDyAu4
1.0
4.759 0.000 0.000
-2.380 4.122 0.000
0.000 0.000 6.951
Nd Dy Au
1 1 4
Direct
0.000 0.000 0.000
0.000 0.000 0.500
0.333 0.667 0.265
0.333 0.667 0.735
0.667 0.333 0.265
0.667 0.333 0.735
```

The density of states at the Fermi level comes out at 0.655 states/eV/atom.

Model B:
## NdDyAu4 (PBE-GGA)

Data for NdDyAu4 after structural relaxation.

```
NdDyAu4
1.0
3.804 0.000 0.000
0.000 3.804 0.000
0.000 0.000 9.195
Nd Dy Au
1 1 4
Direct
0.000 0.000 0.000
0.500 0.500 0.500
0.000 0.000 0.340
0.000 0.000 0.660
0.500 0.500 0.172
0.500 0.500 0.828
```

The density of states at the Fermi level comes out at 0.279 states/eV/atom.

Name the most stable of them. model B.

Model A:
## NdDyAu (PBE-GGA)

Data for NdDyAu after structural relaxation.

```
NdDyAu
1.0
4.936 0.000 0.000
-2.468 4.275 0.000
0.000 0.000 3.971
Nd Dy Au
1 1 1
Direct
0.000 0.000 0.000
0.667 0.333 0.531
0.333 0.667 0.334
```

The density of states at the Fermi level comes out at 0.805 states/eV/atom.

Model B:
## NdDyAu (PBE-GGA)

Data for NdDyAu after structural relaxation.

```
NdDyAu
1.0
7.300 0.000 0.000
0.000 5.032 0.000
0.000 0.000 9.046
Nd Dy Au
4 4 4
Direct
0.011 0.250 0.177
0.489 0.750 0.677
0.511 0.250 0.323
0.989 0.750 0.823
0.149 0.250 0.582
0.351 0.750 0.082
0.649 0.250 0.918
0.851 0.750 0.418
0.247 0.750 0.402
0.253 0.250 0.902
0.747 0.750 0.098
0.753 0.250 0.598
```

The density of states at the Fermi level comes out at 1.024 states/eV/atom.

Name the most stable of them. model B.

Model A:
## NdDyNiAu (PBE-GGA)

Data for NdDyNiAu after structural relaxation.

```
NdDyNiAu
1.0
4.619 0.000 0.000
0.000 1.932 5.247
0.000 -1.932 5.247
Nd Dy Ni Au
1 1 1 1
Direct
0.000 0.000 0.000
0.500 0.719 0.719
0.000 0.275 0.275
0.500 0.432 0.432
```

The density of states at the Fermi level comes out at 0.665 states/eV/atom.

Model B:
## NdDyNiAu (PBE-GGA)

Data for NdDyNiAu after structural relaxation.

```
NdDyNiAu
1.0
0.000 3.568 3.568
3.568 0.000 3.568
3.568 3.568 0.000
Nd Dy Ni Au
1 1 1 1
Direct
0.000 0.000 0.000
0.500 0.500 0.500
0.250 0.250 0.250
0.750 0.750 0.750
```

The density of states at the Fermi level comes out at 0.694 states/eV/atom.

Name the most stable of them. model A.